Compound: KBa2Ge2
Source: Alexandria
Functional: GGA-PBEsol
Structure: relaxed

The structure belongs to space group P4/mbm (No. 127); the cell edges are 8.720, 8.720 and 4.681 Å and the angles 90.00°, 90.00° and 90.00°. The asymmetric unit holds K at (0.000, 0.000, 0.000), Ba at (0.176, 0.324, 0.500) and Ge at (0.101, 0.601, 0.000).

Its crystal system is tetragonal. The formation energy is -349 meV/atom. As for the total magnetic moment: 0.01 μB/cell.



Compound: Ta4Te
Source: Alexandria
Functional: GGA-PBEsol
Structure: relaxed

The structure belongs to space group I4/mmm (No. 139); the cell edges are 3.717, 3.717 and 14.679 Å and the angles 90.00°, 90.00° and 90.00°. The asymmetric unit holds Ta at (0.000, 0.000, 0.101), Ta at (0.000, 0.500, 0.250) and Te at (0.000, 0.000, 0.500).

Its crystal system is tetragonal. As for the uncorrected formation energy: 0.72 eV/atom. As for the total magnetic moment: 0.00 μB/cell.



Compound: Zr2Ga2Pd
Source: Alexandria
Functional: GGA-PBEsol
Structure: relaxed

The structure belongs to space group P4/mbm (No. 127); the cell edges are 6.523, 6.523 and 4.116 Å and the angles 90.00°, 90.00° and 90.00°. The asymmetric unit holds Zr at (0.170, 0.330, 0.000), Ga at (0.136, 0.636, 0.500) and Pd at (0.000, 0.000, 0.500).

Its crystal system is tetragonal. The formation energy is -753 meV/atom. As for the total magnetic moment: 0.00 μB/cell.



Compound: TlTeP2
Source: Alexandria
Functional: GGA-PBEsol
Structure: relaxed

The structure belongs to space group P4/mmm (No. 123); the cell edges are 3.966, 3.966 and 5.583 Å and the angles 90.00°, 90.00° and 90.00°. The asymmetric unit holds Tl at (0.000, 0.000, 0.000), Te at (0.500, 0.500, 0.500), P at (0.000, 0.000, 0.500) and P at (0.500, 0.500, 0.000).

Its crystal system is tetragonal. As for the uncorrected formation energy: 0.25 eV/atom. As for the total magnetic moment: 0.00 μB/cell.



Compound: Ba2BeF
Source: Alexandria
Functional: GGA-PBEsol
Structure: relaxed

The structure belongs to space group I-42d (No. 122); the cell edges are 7.533, 7.533 and 9.133 Å and the angles 90.00°, 90.00° and 90.00°. The asymmetric unit holds Ba at (0.192, 0.250, 0.125), Be at (0.000, 0.000, 0.500) and F at (0.000, 0.000, 0.000).

Its crystal system is tetragonal. As for the uncorrected formation energy: -0.92 eV/atom. As for the total magnetic moment: 0.00 μB/cell.



Compound: Cd2HgBr
Source: Alexandria
Functional: GGA-PBEsol
Structure: relaxed

The structure belongs to space group Cm (No. 8); the cell edges are 9.641, 3.847 and 6.317 Å and the angles 90.00°, 115.84° and 90.00°. The asymmetric unit holds Cd at (0.000, 0.000, 0.000), Cd at (0.243, 0.500, 0.222), Hg at (0.490, 0.000, 0.383) and Br at (0.275, 0.000, 0.726).

Its crystal system is monoclinic. As for the uncorrected formation energy: -0.13 eV/atom. As for the total magnetic moment: 0.00 μB/cell.



Compound: V5As3
Source: Alexandria
Functional: GGA-PBEsol
Structure: relaxed

The structure belongs to space group I4/mcm (No. 140); the cell edges are 9.357, 9.357 and 4.869 Å and the angles 90.00°, 90.00° and 90.00°. The asymmetric unit holds V at (0.000, 0.500, 0.250), V at (0.077, 0.227, 0.000), As at (0.000, 0.000, 0.250) and As at (0.164, 0.336, 0.500).

Its crystal system is tetragonal. The formation energy is -499 meV/atom. As for the total magnetic moment: 0.00 μB/cell.



Compound: CaTaBiO5
Source: Alexandria
Functional: GGA-PBEsol
Structure: relaxed

The structure belongs to space group P2_1/c (No. 14); the cell edges are 5.785, 11.448 and 8.788 Å and the angles 90.00°, 108.94° and 90.00°. The asymmetric unit holds Ca at (0.036, 0.095, 0.169), Ta at (0.376, 0.621, 0.050), Bi at (0.461, 0.096, 0.848), O at (0.205, 0.740, 0.486), O at (0.227, 0.549, 0.188), O at (0.265, 0.029, 0.010), O at (0.331, 0.197, 0.346) and O at (0.354, 0.539, 0.856).

Its crystal system is monoclinic. As for the uncorrected formation energy: -2.43 eV/atom. As for the total magnetic moment: 0.00 μB/cell.



Compound: Si2TcW
Source: Alexandria
Functional: GGA-PBEsol
Structure: relaxed

The structure belongs to space group P4mm (No. 99); the cell edges are 3.110, 3.110 and 5.552 Å and the angles 90.00°, 90.00° and 90.00°. The asymmetric unit holds Si at (0.000, 0.000, 0.000), Si at (0.500, 0.500, 0.249), Tc at (0.000, 0.000, 0.460) and W at (0.500, 0.500, 0.776).

Its crystal system is tetragonal. As for the uncorrected formation energy: -0.44 eV/atom. As for the total magnetic moment: 0.00 μB/cell.



Compound: BaHgSbI2
Source: Alexandria
Functional: GGA-PBEsol
Structure: relaxed

The structure belongs to space group P4/mmm (No. 123); the cell edges are 5.896, 5.896 and 5.550 Å and the angles 90.00°, 90.00° and 90.00°. The asymmetric unit holds Ba at (0.000, 0.000, 0.000), Hg at (0.500, 0.500, 0.500), Sb at (0.500, 0.500, 0.000) and I at (0.000, 0.500, 0.500).

Its crystal system is tetragonal. As for the uncorrected formation energy: -0.43 eV/atom. As for the total magnetic moment: 0.43 μB/cell.



Compound: BaMg2In2
Source: Alexandria
Functional: GGA-PBEsol
Structure: relaxed

The structure belongs to space group I4/mmm (No. 139); the cell edges are 4.837, 4.837 and 12.406 Å and the angles 90.00°, 90.00° and 90.00°. The asymmetric unit holds Ba at (0.000, 0.000, 0.000), Mg at (0.000, 0.500, 0.250) and In at (0.000, 0.000, 0.385).

Its crystal system is tetragonal. The formation energy is -341 meV/atom. As for the total magnetic moment: 0.00 μB/cell.



Compound: Al2RuCl
Source: Alexandria
Functional: GGA-PBEsol
Structure: relaxed

The structure belongs to space group Cm (No. 8); the cell edges are 9.486, 3.002 and 4.302 Å and the angles 90.00°, 96.73° and 90.00°. The asymmetric unit holds Al at (0.000, 0.000, 0.000), Al at (0.207, 0.500, 0.574), Ru at (0.266, 0.000, 0.076) and Cl at (0.456, 0.000, 0.504).

Its crystal system is monoclinic. As for the uncorrected formation energy: -0.21 eV/atom. As for the total magnetic moment: 0.00 μB/cell.